Entry from Alexandria via LeMat-Bulk: crystalline KEr2Th at its relaxed geometry (PBE).

The structure in POSCAR format:
```
KEr2Th
1.0
1.798 1.038 13.063
-1.798 1.038 13.063
0.000 -2.076 13.063
K Er Th
1 2 1
direct
0.000 0.000 0.000 K
0.097 0.097 0.097 Er
0.903 0.903 0.903 Er
0.500 0.500 0.500 Th
```

Computed properties:
V: 146.3 Å³/cell
DOS at the Fermi energy: 5.656 states/eV/f.u.
Energy of formation: 0.24 eV/atom

Entry from Alexandria via LeMat-Bulk: crystalline Tm7Bi2Te2 at its relaxed geometry (PBE).

The structure in POSCAR format:
```
Tm7Bi2Te2
1.0
4.581 -5.373 0.000
4.581 5.373 0.000
0.000 0.000 6.923
Tm Bi Te
7 2 2
direct
0.000 0.000 0.000 Tm
0.000 0.500 0.265 Tm
0.000 0.500 0.735 Tm
0.500 0.000 0.265 Tm
0.500 0.000 0.735 Tm
0.500 0.500 0.261 Tm
0.500 0.500 0.739 Tm
0.192 0.192 0.500 Bi
0.808 0.808 0.500 Bi
0.278 0.722 0.000 Te
0.722 0.278 0.000 Te
```

Computed properties:
E_form (uncorrected): -330 meV per atom
V: 340.9 Å³/cell
DOS at the Fermi energy: 12.884 states/eV/f.u.

| no. | total energy (eV for the cell shown) |
| --- | --- |
| 1 | -16.7 |
| 2 | -49.0 |